No. 1
Material: TiB2Rh2
Method: DFT, GGA-PBE
State: relaxed

a = 6.376 Å, b = 6.376 Å, c = 2.722 Å
α = 90.00°, β = 90.00°, γ = 90.00°
Fractional coordinates of all 10 atoms:
Ti1 0.000 0.000 0.000
Ti2 0.500 0.500 0.000
B1 0.144 0.356 0.000
B2 0.356 0.856 0.000
B3 0.644 0.144 0.000
B4 0.856 0.644 0.000
Rh1 0.154 0.654 0.500
Rh2 0.346 0.154 0.500
Rh3 0.654 0.846 0.500
Rh4 0.846 0.346 0.500

Computed properties:
space group	P4/mbm
distance to the lowest polymorph of the same formula	1.07	eV/f.u.
energy relative to the elements	-0.2970	eV per atom

---

No. 2
Material: Ti2BRh6
Method: DFT, GGA-PBE
State: relaxed

a = 6.498 Å, b = 6.498 Å, c = 4.286 Å
α = 109.05°, β = 109.05°, γ = 54.04°
Fractional coordinates of all 9 atoms:
Ti1 0.162 0.162 0.157
Ti2 0.838 0.838 0.843
B1 0.500 0.500 0.500
Rh1 0.100 0.596 0.351
Rh2 0.290 0.710 0.000
Rh3 0.404 0.900 0.649
Rh4 0.596 0.100 0.351
Rh5 0.710 0.290 0.000
Rh6 0.900 0.404 0.649

Computed properties:
space group	C2/m
distance to the lowest polymorph of the same formula	3.86	eV/f.u.
energy relative to the elements	-0.2535	eV per atom